[1]
DFT (PBE) results for a relaxed HfSbPdC2 crystal.

The structure in POSCAR format:
```
HfSbPdC2
1.0
4.167 0.000 0.000
0.000 5.638 0.000
0.000 0.000 4.167
C Pd Sb Hf
2 1 1 1
Direct
0.000 0.000 0.500
0.500 0.000 0.000
0.500 0.500 0.500
0.000 0.000 0.000
0.000 0.500 0.000
```

Computed properties:
For the size of the total moment, the calculation gives 0.00 μB per formula unit. The uncorrected formation energy is 2183 meV per atom.

=====

[2]
DFT (PBE) results for a relaxed TbSc2Sn crystal.

The structure in POSCAR format:
```
TbSc2Sn
1.0
-1.142 -3.066 -3.982
-3.821 -3.435 0.405
-4.384 0.701 -2.618
Sc Tb Sn
2 1 1
Direct
0.750 0.750 0.750
0.250 0.250 0.250
0.000 0.000 0.000
0.500 0.500 0.500
```

Computed properties:
For the size of the total moment, the calculation gives 1.74 μB per formula unit. The value obtained for the energy above the most stable polymorph in this dataset is 0.85 eV per formula unit. As for the formation energy: -0.25 eV/atom.

=====

[3]
DFT (PBE) results for a relaxed Nd2Y4ThSc crystal.

The structure in POSCAR format:
```
Nd2Y4ThSc
1.0
5.861 0.000 0.000
0.000 9.508 -0.283
0.000 3.751 4.507
Nd Y Sc Th
2 4 1 1
Direct
0.000 0.000 0.000
0.500 0.000 0.500
0.000 0.259 0.240
0.000 0.741 0.760
0.500 0.259 0.741
0.500 0.741 0.259
0.500 0.500 0.000
0.000 0.500 0.500
```

Computed properties:
For the size of the total moment, the calculation gives 0.00 μB per formula unit. As for the formation energy: 0.13 eV/atom.

=====

[4]
DFT (PBE) results for a relaxed CaAc9Nd2 crystal.

The structure in POSCAR format:
```
CaAc9Nd2
1.0
5.560 0.000 0.000
0.000 5.560 0.000
0.000 0.000 16.688
Ac Nd Ca
9 2 1
Direct
0.500 0.500 0.335
0.500 0.000 0.500
0.000 0.500 0.171
0.000 0.500 0.829
0.000 0.500 0.500
0.500 0.500 0.000
0.500 0.500 0.665
0.500 0.000 0.171
0.500 0.000 0.829
0.000 0.000 0.667
0.000 0.000 0.333
0.000 0.000 0.000
```

Computed properties:
For the size of the total moment, the calculation gives 0.00 μB per formula unit. As for the formation energy: 0.02 eV/atom.

=====

[5]
DFT (PBE) results for a relaxed Sm6Dy7Ho16 crystal.

The structure in POSCAR format:
```
Sm6Dy7Ho16
1.0
9.623 0.000 5.556
3.208 9.072 5.556
0.000 0.000 11.111
Dy Ho Sm
7 16 6
Direct
0.000 0.500 0.000
0.000 0.000 0.000
0.000 0.500 0.500
0.500 0.000 0.000
0.500 0.500 0.000
0.500 0.000 0.500
0.000 0.000 0.500
0.625 0.125 0.125
0.125 0.125 0.125
0.651 0.651 0.651
0.349 0.954 0.349
0.651 0.651 0.046
0.375 0.875 0.875
0.875 0.375 0.875
0.349 0.349 0.349
0.651 0.046 0.651
0.954 0.349 0.349
0.125 0.125 0.625
0.349 0.349 0.954
0.125 0.625 0.125
0.875 0.875 0.375
0.046 0.651 0.651
0.875 0.875 0.875
0.275 0.725 0.725
0.275 0.725 0.275
0.725 0.275 0.275
0.725 0.725 0.275
0.725 0.275 0.725
0.275 0.275 0.725
```

Computed properties:
For the size of the total moment, the calculation gives 0.02 μB per formula unit. As for the formation energy: 0.24 eV/atom.

=====

[6]
DFT (PBE) results for a relaxed LaPr2CdHg4 crystal.

The structure in POSCAR format:
```
LaPr2CdHg4
1.0
-1.154 5.123 0.521
-4.875 1.727 -1.049
-4.415 0.845 8.638
Pr Hg La Cd
2 4 1 1
Direct
0.239 0.239 0.284
0.761 0.761 0.716
0.627 0.627 0.120
0.373 0.373 0.880
0.123 0.123 0.630
0.877 0.877 0.370
0.000 0.000 0.000
0.500 0.500 0.500
```

Computed properties:
For the size of the total moment, the calculation gives 0.00 μB per formula unit. As for the formation energy: -0.43 eV/atom.

=====

no.,V (Å³ per cell),energy (eV/atom)
1,97.9,-5.3604
2,96.8,-5.5738
3,257.4,-6.0114
4,515.9,-4.0211
5,970.0,-4.3694
6,223.1,-2.5090